DFT (GGA-PBE) results for a geometry-optimized Ba2Ag2C structure.

Cell and atoms, written as POSCAR:
```
Ba2Ag2C
1.0
-1.8969 1.8969 9.4359
1.8969 -1.8969 9.4359
1.8969 1.8969 -9.4359
Ba Ag C
2 2 1
Cartesian
0.0000 0.0000 1.6406
0.0000 0.0000 17.2313
1.8969 0.0000 4.7180
0.0000 1.8969 4.7180
0.0000 0.0000 9.4359
```

Space-group type: No. 139

***

DFT (GGA-PBE) results for a geometry-optimized Ba3AgC structure.

Cell and atoms, written as POSCAR:
```
Ba3AgC
1.0
5.7512 0.0000 0.0000
0.0000 5.7512 0.0000
0.0000 0.0000 5.7512
Ba Ag C
3 1 1
Cartesian
0.0000 0.0000 2.8756
0.0000 2.8756 0.0000
2.8756 0.0000 0.0000
2.8756 2.8756 2.8756
0.0000 0.0000 0.0000
```

Space-group type: No. 221

***

DFT (GGA-PBE) results for a geometry-optimized BaAgC3 structure.

Cell and atoms, written as POSCAR:
```
BaAgC3
1.0
4.7880 0.0000 0.0000
0.0000 4.7880 0.0000
0.0000 0.0000 4.7880
Ba Ag C
1 1 3
Cartesian
0.0000 0.0000 0.0000
2.3940 2.3940 2.3940
0.0000 0.0000 2.3940
0.0000 2.3940 0.0000
2.3940 0.0000 0.0000
```

Space-group type: No. 221

***

DFT (GGA-PBE) results for a geometry-optimized BaAgC3 structure.

Cell and atoms, written as POSCAR:
```
BaAgC3
1.0
4.4117 0.0000 0.0000
0.0000 4.4117 0.0000
0.0000 0.0000 4.4117
Ba Ag C
1 1 3
Cartesian
0.0000 0.0000 0.0000
2.2059 2.2059 2.2059
0.0000 2.2059 2.2059
2.2059 0.0000 2.2059
2.2059 2.2059 0.0000
```

Space-group type: No. 221

***

Energy above the most stable polymorph in this dataset readings, ordered: 0.0, 0.0, 1194.9, 0.0 meV per atom
ΔH_f (0 K) readings, ordered: 0.49, 0.37, 3.64, 2.44 eV per atom
DOS(E_F) readings, ordered: 0.737, 1.417, 1.077, 0.753 states/eV/atom